{
  "formula": "Sm2Dy6TmSc3",
  "functional": "PBE",
  "state": "optimized geometry",
  "magmom_total_mub_per_atom": 0.000,
  "sg": "C2/m",
  "formation_enthalpy_0k_ev_per_atom": 0.04,
  "lattice_angstrom": [[3.026, -5.239, 0.000], [3.026, 5.239, 0.000], [-2.013, 0.000, 11.301]],
  "species": ["Sm", "Sm", "Dy", "Dy", "Dy", "Dy", "Dy", "Dy", "Tm", "Sc", "Sc", "Sc"],
  "fractional_positions": [[0.167, 0.833, 0.000], [0.833, 0.167, 0.000], [0.080, 0.413, 0.740], [0.254, 0.254, 0.260], [0.413, 0.080, 0.740], [0.587, 0.920, 0.260], [0.746, 0.746, 0.740], [0.920, 0.587, 0.260], [0.500, 0.500, 0.000], [0.000, 0.000, 0.500], [0.334, 0.666, 0.500], [0.666, 0.334, 0.500]]
}